[1]
PBE-GGA Cs2Ga2HgBi2, optimized geometry; ΔE_f = -166.3 kJ/mol of formula units; space group = No. 12
1.0
7.399 -2.537 0.000
7.399 2.537 0.000
-6.234 0.000 7.480
Cs Ga Hg Bi
2 2 1 2
Direct
0.051 0.051 0.337 Cs
0.949 0.949 0.663 Cs
0.298 0.298 0.953 Ga
0.702 0.702 0.047 Ga
0.500 0.500 0.000 Hg
0.291 0.291 0.238 Bi
0.709 0.709 0.762 Bi


[2]
PBE-GGA CsGaHg2Bi, optimized geometry; ΔE_f = -40.2 kJ/mol of formula units; space group = No. 123
1.0
5.805 0.000 0.000
0.000 5.805 0.000
0.000 0.000 5.611
Cs Ga Hg Bi
1 1 2 1
Direct
0.000 0.000 0.000 Cs
0.500 0.500 0.500 Ga
0.000 0.500 0.500 Hg
0.500 0.000 0.500 Hg
0.500 0.500 0.000 Bi


[3]
PBE-GGA Cs2GaHgBi, optimized geometry; ΔE_f = -117.5 kJ/mol of formula units; space group = No. 11
1.0
10.829 0.000 0.000
0.000 4.714 0.000
-5.109 0.000 9.610
Cs Ga Hg Bi
4 2 2 2
Direct
0.124 0.250 0.374 Cs
0.373 0.750 0.120 Cs
0.627 0.250 0.880 Cs
0.876 0.750 0.626 Cs
0.201 0.250 0.793 Ga
0.799 0.750 0.207 Ga
0.050 0.250 0.951 Hg
0.950 0.750 0.049 Hg
0.290 0.750 0.709 Bi
0.710 0.250 0.291 Bi


[4]
PBE-GGA Cs2GaHgBi, optimized geometry; ΔE_f = -46.5 kJ/mol of formula units; space group = No. 123
1.0
7.158 0.000 0.000
0.000 7.158 0.000
0.000 0.000 5.554
Cs Ga Hg Bi
2 1 1 1
Direct
0.000 0.500 0.000 Cs
0.500 0.000 0.000 Cs
0.000 0.000 0.000 Ga
0.500 0.500 0.500 Hg
0.000 0.000 0.500 Bi


[5]
PBE-GGA Cs2GaHgBi2, optimized geometry; ΔE_f = -176.5 kJ/mol of formula units; space group = No. 72
1.0
-3.825 8.602 3.743
3.825 -8.602 3.743
3.825 8.602 -3.743
Cs Ga Hg Bi
4 2 2 4
Direct
0.161 0.228 0.388 Cs
0.339 0.728 0.067 Cs
0.661 0.272 0.933 Cs
0.839 0.772 0.612 Cs
0.250 0.750 0.500 Ga
0.750 0.250 0.500 Ga
0.250 0.250 0.000 Hg
0.750 0.750 0.000 Hg
0.089 0.715 0.804 Bi
0.411 0.215 0.627 Bi
0.589 0.785 0.373 Bi
0.911 0.285 0.196 Bi


[6]
PBE-GGA Cs2GaBiI6, optimized geometry; formation energy from raw total energies = -0.900 eV per atom; space group = No. 139
1.0
-4.403 4.403 6.223
4.403 -4.403 6.223
4.403 4.403 -6.223
Cs Ga Bi I
2 1 1 6
Direct
0.250 0.750 0.500 Cs
0.750 0.250 0.500 Cs
0.000 0.000 0.000 Ga
0.500 0.500 0.000 Bi
0.251 0.251 0.000 I
0.251 0.251 0.502 I
0.251 0.749 0.000 I
0.749 0.251 0.000 I
0.749 0.749 0.000 I
0.749 0.749 0.498 I


[7]
PBE-GGA Cs2InGaBi2, optimized geometry; ΔE_f = -172.8 kJ/mol of formula units; space group = No. 72
1.0
-3.840 8.642 3.836
3.840 -8.642 3.836
3.840 8.642 -3.836
Cs In Ga Bi
4 2 2 4
Direct
0.165 0.248 0.412 Cs
0.335 0.748 0.083 Cs
0.665 0.252 0.917 Cs
0.835 0.752 0.588 Cs
0.250 0.750 0.500 In
0.750 0.250 0.500 In
0.250 0.250 0.000 Ga
0.750 0.750 0.000 Ga
0.086 0.761 0.847 Bi
0.414 0.261 0.675 Bi
0.586 0.739 0.325 Bi
0.914 0.239 0.153 Bi


[8]
PBE-GGA Cs2In4Ga3Bi, optimized geometry; ΔE_f = -99.5 kJ/mol of formula units; space group = No. 115
1.0
5.090 0.000 0.000
0.000 5.090 0.000
0.000 0.000 12.195
Cs In Ga Bi
2 4 3 1
Direct
0.000 0.500 0.246 Cs
0.500 0.000 0.754 Cs
0.000 0.000 0.000 In
0.000 0.500 0.643 In
0.500 0.000 0.357 In
0.500 0.500 0.000 In
0.000 0.500 0.878 Ga
0.500 0.000 0.122 Ga
0.500 0.500 0.500 Ga
0.000 0.000 0.500 Bi


[9]
PBE-GGA Cs2KGaBi2, optimized geometry; ΔE_f = -209.5 kJ/mol of formula units; space group = No. 72
1.0
-4.301 8.390 3.849
4.301 -8.390 3.849
4.301 8.390 -3.849
Cs K Ga Bi
4 2 2 4
Direct
0.169 0.220 0.389 Cs
0.331 0.720 0.051 Cs
0.669 0.280 0.949 Cs
0.831 0.780 0.611 Cs
0.250 0.750 0.500 K
0.750 0.250 0.500 K
0.250 0.250 0.000 Ga
0.750 0.750 0.000 Ga
0.086 0.813 0.899 Bi
0.414 0.313 0.726 Bi
0.586 0.687 0.274 Bi
0.914 0.187 0.101 Bi


[10]
PBE-GGA CsKGa2Bi2, optimized geometry; ΔE_f = -100.7 kJ/mol of formula units; space group = No. 164
1.0
5.007 0.000 0.000
-2.503 4.336 0.000
0.000 0.000 11.260
Cs K Ga Bi
1 1 2 2
Direct
0.000 0.000 0.000 Cs
0.000 0.000 0.500 K
0.333 0.667 0.738 Ga
0.667 0.333 0.262 Ga
0.333 0.667 0.269 Bi
0.667 0.333 0.731 Bi


[11]
PBE-GGA CsMgGaBi2, optimized geometry; ΔE_f = -141.5 kJ/mol of formula units; space group = No. 119
1.0
-2.331 2.331 8.295
2.331 -2.331 8.295
2.331 2.331 -8.295
Cs Mg Ga Bi
1 1 1 2
Direct
0.000 0.000 0.000 Cs
0.750 0.250 0.500 Mg
0.250 0.750 0.500 Ga
0.359 0.359 0.000 Bi
0.641 0.641 0.000 Bi


[12]
PBE-GGA CsGaBi2N, optimized geometry; formation energy from raw total energies = 0.541 eV per atom; space group = No. 123
1.0
4.954 0.000 0.000
0.000 4.954 0.000
0.000 0.000 5.970
Cs Ga Bi N
1 1 2 1
Direct
0.000 0.000 0.000 Cs
0.500 0.500 0.000 Ga
0.000 0.500 0.500 Bi
0.500 0.000 0.500 Bi
0.000 0.000 0.500 N


- Number 9 is which compound?
  Cs2KGaBi2